! Pr12YTm7, relaxed, DFT PBE; values from VASP
! electronic total energy = -4.5267 eV/atom
! DOS at the Fermi energy = 29.53 states/eV/cell
! energy of formation = 229 meV per atom
! volume = 35.1 A^3/atom
&SYSTEM
  ibrav = 0, nat = 20, ntyp = 3
/
ATOMIC_SPECIES
Tm 168.93 Tm.upf
Pr 140.91 Pr.upf
Y 88.91 Y.upf
ATOMIC_POSITIONS angstrom
Tm 4.841 2.400 9.201
Tm -1.651 7.450 -4.051
Tm 1.539 2.400 1.098
Tm 3.065 0.000 -0.631
Tm 5.430 0.000 1.712
Tm -2.240 9.850 3.437
Tm 1.651 7.450 4.051
Pr 3.066 8.118 -0.631
Pr 1.680 3.462 9.225
Pr -1.292 5.791 -1.106
Pr 4.482 4.059 6.256
Pr 1.897 4.059 4.043
Pr -1.510 6.387 4.077
Pr 1.510 6.388 -4.075
Pr 4.700 3.462 1.073
Pr 2.640 0.001 3.538
Pr 0.550 9.849 1.611
Pr 1.293 5.791 1.106
Pr 0.124 1.731 5.780
Y 0.000 0.000 0.000
CELL_PARAMETERS angstrom
6.131 0.000 -1.262
-3.190 9.850 -5.149
0.249 0.000 11.561

! Pr8Y4Tm3, relaxed, DFT PBE; values from VASP
! electronic total energy = -4.8399 eV/atom
! DOS at the Fermi energy = 22.91 states/eV/cell
! energy of formation = 327 meV per atom
! volume = 34.6 A^3/atom
&SYSTEM
  ibrav = 0, nat = 15, ntyp = 3
/
ATOMIC_SPECIES
Pr 140.91 Pr.upf
Y 88.91 Y.upf
Tm 168.93 Tm.upf
ATOMIC_POSITIONS angstrom
Pr -3.315 4.904 7.045
Pr 0.032 5.271 7.572
Pr -3.214 5.562 3.581
Pr -3.214 1.428 6.460
Pr 0.256 6.028 3.239
Pr 0.256 0.945 6.778
Pr 0.480 1.702 2.445
Pr 3.827 2.069 2.972
Y -1.607 4.264 0.758
Y -1.607 -0.769 4.262
Y 3.470 -0.008 -0.012
Y 0.000 0.000 0.000
Tm 1.863 -0.778 4.250
Tm 0.256 3.487 5.008
Tm 1.863 4.256 0.746
CELL_PARAMETERS angstrom
6.940 -0.017 -0.024
-3.214 8.529 1.516
-3.214 -1.539 8.525

! PrYTm5, relaxed, DFT PBE; values from VASP
! electronic total energy = -4.5981 eV/atom
! DOS at the Fermi energy = 18.84 states/eV/cell
! energy of formation = 202 meV per atom
! volume = 32.0 A^3/atom
&SYSTEM
  ibrav = 0, nat = 14, ntyp = 3
/
ATOMIC_SPECIES
Tm 168.93 Tm.upf
Pr 140.91 Pr.upf
Y 88.91 Y.upf
ATOMIC_POSITIONS angstrom
Tm -5.566 5.766 9.393
Tm -7.598 4.478 13.901
Tm -5.254 5.464 12.344
Tm -3.232 -2.109 6.724
Tm -3.531 1.103 4.569
Tm -5.563 -0.185 9.077
Tm -7.897 7.690 11.745
Tm -6.162 2.322 11.079
Tm -4.967 3.259 7.391
Tm -5.875 0.117 6.126
Pr -3.301 4.336 4.160
Pr 0.000 0.000 0.000
Y -2.610 0.959 7.839
Y -8.519 4.622 10.631
CELL_PARAMETERS angstrom
-5.202 -2.303 3.534
0.675 -0.787 6.616
-6.601 8.671 8.320

! Pr4Y6Tm5, relaxed, DFT PBE; values from VASP
! electronic total energy = -5.3249 eV/atom
! DOS at the Fermi energy = 45.62 states/eV/cell
! energy of formation = 26 meV per atom
! volume = 32.5 A^3/atom
&SYSTEM
  ibrav = 0, nat = 30, ntyp = 3
/
ATOMIC_SPECIES
Y 88.91 Y.upf
Pr 140.91 Pr.upf
Tm 168.93 Tm.upf
ATOMIC_POSITIONS angstrom
Y 2.529 11.419 9.074
Y 0.000 11.414 6.520
Y 0.000 6.341 6.554
Y 2.529 3.846 6.551
Y 0.000 6.323 11.575
Y 2.529 1.292 9.081
Y 0.000 11.413 1.488
Y 0.000 8.859 14.145
Y 2.529 1.292 14.114
Y 2.529 6.365 14.147
Y 2.529 6.382 3.982
Y 0.000 1.286 1.480
Pr 2.529 8.877 6.561
Pr 2.529 8.890 11.565
Pr 0.000 1.285 6.555
Pr 0.000 3.816 3.972
Pr 2.529 11.416 3.983
Pr 0.000 1.289 11.576
Pr 2.529 11.420 14.149
Pr 0.000 3.829 14.154
Tm 0.000 8.855 3.979
Tm 0.000 11.414 11.597
Tm 2.529 1.291 4.003
Tm 2.529 6.337 9.073
Tm 0.000 3.833 9.076
Tm 2.529 3.851 11.573
Tm 2.529 8.873 1.483
Tm 2.529 3.829 1.481
Tm 0.000 6.369 1.479
Tm 0.000 8.876 9.075
CELL_PARAMETERS angstrom
5.058 0.000 0.000
-2.529 12.705 0.000
0.000 0.000 15.187

! PrY8Tm6, relaxed, DFT PBE; values from VASP
! electronic total energy = -5.3161 eV/atom
! DOS at the Fermi energy = 22.76 states/eV/cell
! energy of formation = 239 meV per atom
! volume = 33.3 A^3/atom
&SYSTEM
  ibrav = 0, nat = 15, ntyp = 3
/
ATOMIC_SPECIES
Y 88.91 Y.upf
Tm 168.93 Tm.upf
Pr 140.91 Pr.upf
ATOMIC_POSITIONS angstrom
Y 2.426 -0.822 -1.814
Y 4.739 -5.848 -1.175
Y 5.907 -1.375 1.931
Y 0.587 -5.610 -8.246
Y 1.755 -1.137 -5.140
Y 4.068 -6.163 -4.501
Y -0.916 -5.675 -3.328
Y 7.410 -1.310 -2.987
Tm -0.666 -3.532 -6.152
Tm 3.305 -3.939 -6.679
Tm 3.189 -3.046 0.364
Tm 4.737 -3.041 -3.352
Tm 7.160 -3.453 -0.163
Tm 1.757 -3.944 -2.963
Pr -0.352 -3.241 -0.151
CELL_PARAMETERS angstrom
-0.705 -6.482 -0.302
-1.552 0.599 -9.245
8.751 -1.102 3.232

! Pr4Y5Tm4, relaxed, DFT PBE; values from VASP
! electronic total energy = -5.3078 eV/atom
! DOS at the Fermi energy = 19.45 states/eV/cell
! energy of formation = 25 meV per atom
! volume = 32.7 A^3/atom
&SYSTEM
  ibrav = 0, nat = 13, ntyp = 3
/
ATOMIC_SPECIES
Tm 168.93 Tm.upf
Pr 140.91 Pr.upf
Y 88.91 Y.upf
ATOMIC_POSITIONS angstrom
Tm -3.851 0.229 4.870
Tm -2.758 7.548 8.039
Tm -4.735 2.267 10.693
Tm -1.873 5.510 2.216
Pr -5.722 5.780 7.092
Pr -2.783 3.962 8.218
Pr -0.887 1.997 5.818
Pr -3.826 3.815 4.691
Y -2.830 0.326 8.325
Y -4.691 5.869 10.579
Y -1.918 1.909 2.330
Y 0.000 0.000 0.000
Y -3.779 7.451 4.585
CELL_PARAMETERS angstrom
-4.867 0.105 1.436
0.095 -1.419 9.397
-1.837 9.090 2.076

! Pr4Y8Tm3, relaxed, DFT PBE; values from VASP
! electronic total energy = -5.4963 eV/atom
! DOS at the Fermi energy = 23.32 states/eV/cell
! energy of formation = 120 meV per atom
! volume = 33.6 A^3/atom
&SYSTEM
  ibrav = 0, nat = 15, ntyp = 3
/
ATOMIC_SPECIES
Y 88.91 Y.upf
Pr 140.91 Pr.upf
Tm 168.93 Tm.upf
ATOMIC_POSITIONS angstrom
Y 4.418 3.050 13.924
Y 4.501 0.968 6.397
Y 1.346 0.929 4.876
Y 2.501 3.866 6.397
Y 3.263 0.113 12.402
Y 5.600 3.866 8.069
Y 0.164 0.113 10.731
Y 1.263 3.011 12.402
Pr 0.000 0.000 0.000
Pr 0.246 0.170 14.289
Pr 5.519 3.810 4.511
Pr 2.882 1.990 9.400
Tm 1.790 -0.890 7.739
Tm -0.198 1.990 7.739
Tm -1.290 -0.890 6.077
CELL_PARAMETERS angstrom
6.160 0.000 3.322
2.184 5.760 3.322
-2.579 -1.781 12.155

! PrY6Tm3, relaxed, DFT PBE; values from VASP
! electronic total energy = -5.5525 eV/atom
! DOS at the Fermi energy = 24.56 states/eV/cell
! energy of formation = 145 meV per atom
! volume = 32.4 A^3/atom
&SYSTEM
  ibrav = 0, nat = 20, ntyp = 3
/
ATOMIC_SPECIES
Tm 168.93 Tm.upf
Pr 140.91 Pr.upf
Y 88.91 Y.upf
ATOMIC_POSITIONS angstrom
Tm 2.800 7.073 5.537
Tm 2.800 2.855 0.244
Tm 5.936 3.819 8.130
Tm 3.823 5.070 2.806
Tm 5.936 -0.399 2.837
Tm 0.688 1.603 5.569
Pr 1.279 -1.011 7.652
Pr 4.415 7.685 0.722
Y 5.373 4.692 -0.614
Y 5.373 8.320 3.937
Y 5.712 -3.462 9.606
Y 3.167 1.567 3.276
Y 2.237 1.981 8.989
Y 4.042 0.489 6.457
Y 0.031 5.106 5.098
Y 0.031 2.844 2.259
Y 0.906 6.185 1.917
Y 2.237 -1.646 4.437
Y 3.167 3.830 6.115
Y 2.576 10.136 -1.231
CELL_PARAMETERS angstrom
6.271 0.000 0.000
0.000 10.884 -1.828
0.000 -4.210 10.202

! PrY8Tm6, relaxed, DFT PBE; values from VASP
! electronic total energy = -5.3641 eV/atom
! DOS at the Fermi energy = 23.38 states/eV/cell
! energy of formation = 191 meV per atom
! volume = 32.1 A^3/atom
&SYSTEM
  ibrav = 0, nat = 15, ntyp = 3
/
ATOMIC_SPECIES
Y 88.91 Y.upf
Tm 168.93 Tm.upf
Pr 140.91 Pr.upf
ATOMIC_POSITIONS angstrom
Y 8.910 9.004 2.944
Y 9.569 5.524 1.534
Y 12.253 7.835 3.122
Y 6.225 6.694 3.122
Y 6.884 3.214 2.944
Y 9.569 5.524 4.532
Y 12.912 4.355 2.944
Y 10.228 2.045 3.122
Tm 2.278 2.478 0.256
Tm 13.346 5.974 5.810
Tm 6.283 0.734 0.256
Tm 5.791 5.075 0.256
Tm 16.859 8.570 5.810
Tm 12.854 10.315 5.810
Pr 0.000 0.000 0.000
CELL_PARAMETERS angstrom
9.569 0.000 0.000
4.784 8.287 0.000
4.784 2.762 6.066

! Pr3YTm5, relaxed, DFT PBE; values from VASP
! electronic total energy = -4.2596 eV/atom
! DOS at the Fermi energy = 24.28 states/eV/cell
! energy of formation = 536 meV per atom
! volume = 36.7 A^3/atom
&SYSTEM
  ibrav = 0, nat = 18, ntyp = 3
/
ATOMIC_SPECIES
Tm 168.93 Tm.upf
Pr 140.91 Pr.upf
Y 88.91 Y.upf
ATOMIC_POSITIONS angstrom
Tm 1.284 0.627 9.577
Tm 5.047 4.318 21.371
Tm 6.060 1.989 13.008
Tm -0.793 2.259 11.568
Tm 3.983 3.621 14.999
Tm 3.635 -1.050 11.191
Tm 0.220 -0.070 3.206
Tm 2.345 -2.189 7.527
Tm -1.921 0.999 7.890
Tm 1.632 5.298 13.385
Pr 1.068 0.708 6.322
Pr 2.422 2.719 4.580
Pr 3.200 3.025 11.029
Pr 0.000 0.000 0.000
Pr 4.199 3.539 18.254
Pr 2.067 1.222 13.547
Y 2.275 1.135 16.755
Y 2.992 3.113 7.821
CELL_PARAMETERS angstrom
-4.240 2.732 8.088
4.664 -3.922 7.329
4.843 5.437 9.160

! Pr3YTm, relaxed, DFT PBE; values from VASP
! electronic total energy = -4.9338 eV/atom
! DOS at the Fermi energy = 22.74 states/eV/cell
! energy of formation = 121 meV per atom
! volume = 34.4 A^3/atom
&SYSTEM
  ibrav = 0, nat = 20, ntyp = 3
/
ATOMIC_SPECIES
Pr 140.91 Pr.upf
Tm 168.93 Tm.upf
Y 88.91 Y.upf
ATOMIC_POSITIONS angstrom
Pr 5.246 9.482 6.930
Pr 6.886 0.925 0.529
Pr 4.829 3.700 0.278
Pr 1.380 9.450 7.231
Pr 3.179 4.073 3.209
Pr 7.302 8.939 4.196
Pr 5.087 6.301 4.551
Pr 1.221 6.270 4.852
Pr 0.964 1.435 3.564
Pr 7.045 4.105 2.908
Pr 3.436 6.675 7.482
Pr 3.020 0.893 0.830
Tm 4.989 1.282 3.500
Tm 1.124 3.844 0.334
Tm 7.142 6.531 7.426
Tm 3.276 9.093 4.260
Y 2.200 7.163 1.367
Y 6.066 7.226 1.025
Y 2.200 3.148 6.735
Y 6.066 3.211 6.393
CELL_PARAMETERS angstrom
7.732 -0.248 -0.185
0.267 9.325 -1.393
0.267 1.298 9.339

! Pr2Y6Tm, relaxed, DFT PBE; values from VASP
! electronic total energy = -5.7718 eV/atom
! DOS at the Fermi energy = 27.05 states/eV/cell
! energy of formation = 97 meV per atom
! volume = 32.8 A^3/atom
&SYSTEM
  ibrav = 0, nat = 18, ntyp = 3
/
ATOMIC_SPECIES
Tm 168.93 Tm.upf
Y 88.91 Y.upf
Pr 140.91 Pr.upf
ATOMIC_POSITIONS angstrom
Tm 5.745 9.109 2.298
Tm 2.689 2.634 9.071
Y 4.185 4.165 6.294
Y 4.249 7.578 5.074
Y 2.867 7.506 1.366
Y 7.084 8.199 10.101
Y 1.128 6.469 4.000
Y 2.510 10.178 3.952
Y 4.405 1.340 3.460
Y 4.028 10.404 7.908
Y 5.924 1.566 7.417
Y 7.305 5.275 7.369
Y 1.349 3.545 1.268
Y 5.566 4.237 10.003
Pr 4.161 7.029 8.492
Pr 7.217 8.673 6.708
Pr 1.216 3.070 4.660
Pr 4.272 4.715 2.876
CELL_PARAMETERS angstrom
6.112 -0.085 -0.083
1.160 9.984 1.522
1.160 1.845 9.930